No. 1
! MgMo2Br | the Alexandria database | PBE | relaxed; values from VASP
&SYSTEM
  ibrav = 0, nat = 8, ntyp = 3
/
ATOMIC_SPECIES
Mg 24.30 Mg.upf
Mo 95.94 Mo.upf
Br 79.90 Br.upf
ATOMIC_POSITIONS angstrom
Mg 0.000 0.000 0.000
Mg 0.000 1.876 5.584
Mo 2.814 0.807 -2.792
Mo 0.807 0.938 2.792
Mo -0.938 1.069 8.376
Mo 1.069 0.938 13.961
Br 1.876 0.000 5.584
Br 0.000 0.000 11.169
CELL_PARAMETERS angstrom
-1.876 1.876 11.169
1.876 -1.876 11.169
1.876 1.876 -11.169
! ΔE to the lowest computed polymorph = 2.22 eV/f.u.
! ΔE_f (raw) = 0.68 eV per atom

No. 2
! Dy3Ge2Pt4 | the Alexandria database | PBE | relaxed; values from VASP
&SYSTEM
  ibrav = 0, nat = 9, ntyp = 3
/
ATOMIC_SPECIES
Dy 162.50 Dy.upf
Ge 72.64 Ge.upf
Pt 195.08 Pt.upf
ATOMIC_POSITIONS angstrom
Dy 0.000 0.000 0.000
Dy 2.669 0.000 2.444
Dy 4.260 0.000 5.462
Ge 1.209 0.000 5.345
Ge 5.720 0.000 2.561
Pt -0.513 0.000 3.244
Pt -0.308 0.000 7.325
Pt 7.237 0.000 0.581
Pt 7.442 0.000 4.662
CELL_PARAMETERS angstrom
5.214 -2.187 0.000
5.214 2.187 0.000
-3.500 0.000 7.906
! calculated formation energy = -1.122 eV per atom

No. 3
! LiCeSmAl | the Alexandria database | PBE | relaxed; values from VASP
&SYSTEM
  ibrav = 0, nat = 4, ntyp = 4
/
ATOMIC_SPECIES
Li 6.94 Li.upf
Ce 140.12 Ce.upf
Sm 150.36 Sm.upf
Al 26.98 Al.upf
ATOMIC_POSITIONS angstrom
Li 0.000 0.000 0.000
Ce 5.541 5.541 5.541
Sm 1.847 1.847 1.847
Al 3.694 3.694 3.694
CELL_PARAMETERS angstrom
0.000 3.694 3.694
3.694 0.000 3.694
3.694 3.694 0.000
! calculated formation energy = -0.104 eV per atom

No. 4
! Mn2TeMo | the Alexandria database | PBE | relaxed; values from VASP
&SYSTEM
  ibrav = 0, nat = 4, ntyp = 3
/
ATOMIC_SPECIES
Mn 54.94 Mn.upf
Te 127.60 Te.upf
Mo 95.94 Mo.upf
ATOMIC_POSITIONS angstrom
Mn 1.347 1.844 0.000
Mn 1.347 -1.844 0.000
Te 0.000 0.000 1.628
Mo 2.693 0.000 1.628
CELL_PARAMETERS angstrom
2.693 -3.687 0.000
2.693 3.687 0.000
0.000 0.000 3.255
! ΔE_f (raw) = 0.36 eV per atom

Raw total energy values, unit eV/atom, following the record order: -5.551, -6.367, -4.182, -7.719.